# 1
A relaxed structure of TaAl2Ga. Source: the Alexandria database, functional PBE.

Computed properties:
**Formation energy**: 292 meV per atom
**Mass density**: 7.12 g/cm3

Cell lengths 5.807, 5.807, 5.807 Å; angles 102.21, 102.21, 125.24 degrees
Atoms (fractional coordinates):
Ta1 0.000 0.000 0.000
Ta2 0.750 0.250 0.500
Al1 0.149 0.125 0.524
Al2 0.375 0.851 0.976
Al3 0.601 0.625 0.476
Al4 0.875 0.399 0.024
Ga1 0.250 0.750 0.500
Ga2 0.500 0.500 0.000

# 2
A relaxed structure of Ta3AlGa. Source: the Alexandria database, functional PBE.

Computed properties:
**E above lowest polymorph**: 1.232 eV/atom
**Formation energy**: 1142 meV per atom
**Mass density**: 10.17 g/cm3

Cell lengths 4.709, 4.709, 4.709 Å; angles 90.00, 90.00, 90.00 degrees
Atoms (fractional coordinates):
Ta1 0.000 0.000 0.500
Ta2 0.000 0.500 0.000
Ta3 0.500 0.000 0.000
Al1 0.500 0.500 0.500
Ga1 0.000 0.000 0.000

# 3
A relaxed structure of TaAlGa. Source: the Alexandria database, functional PBE.

Computed properties:
**Formation energy**: -27 meV per atom
**Mass density**: 9.12 g/cm3

Cell lengths 6.651, 6.651, 6.651 Å; angles 155.50, 155.50, 34.92 degrees
Atoms (fractional coordinates):
Ta1 0.000 0.000 0.000
Al1 0.661 0.661 0.000
Ga1 0.332 0.332 0.000

# 4
A relaxed structure of TaAl3Ga. Source: the Alexandria database, functional PBE.

Computed properties:
**E above lowest polymorph**: 0.963 eV/atom
**Formation energy**: 1063 meV per atom
**Mass density**: 5.47 g/cm3

Cell lengths 4.651, 4.651, 4.651 Å; angles 90.00, 90.00, 90.00 degrees
Atoms (fractional coordinates):
Ta1 0.000 0.000 0.000
Al1 0.000 0.500 0.500
Al2 0.500 0.000 0.500
Al3 0.500 0.500 0.000
Ga1 0.500 0.500 0.500

# 5
A relaxed structure of Ta4AlGa5. Source: the Alexandria database, functional PBE.

Computed properties:
**Formation energy**: 132 meV per atom
**Mass density**: 10.41 g/cm3

Cell lengths 8.024, 8.152, 5.361 Å; angles 90.00, 90.00, 90.00 degrees
Atoms (fractional coordinates):
Ta1 0.075 0.250 0.187
Ta2 0.250 0.534 0.975
Ta3 0.250 0.966 0.975
Ta4 0.425 0.250 0.187
Ta5 0.575 0.750 0.813
Ta6 0.750 0.034 0.025
Ta7 0.750 0.466 0.025
Ta8 0.925 0.750 0.813
Al1 0.250 0.750 0.544
Al2 0.750 0.250 0.456
Ga1 0.014 0.582 0.301
Ga2 0.014 0.918 0.301
Ga3 0.250 0.250 0.652
Ga4 0.486 0.582 0.301
Ga5 0.486 0.918 0.301
Ga6 0.514 0.082 0.699
Ga7 0.514 0.418 0.699
Ga8 0.750 0.750 0.348
Ga9 0.986 0.082 0.699
Ga10 0.986 0.418 0.699

# 6
A relaxed structure of TaAlGa3. Source: the Alexandria database, functional PBE.

Computed properties:
**E above lowest polymorph**: 1.042 eV/atom
**Formation energy**: 1065 meV per atom
**Mass density**: 6.56 g/cm3

Cell lengths 4.726, 4.726, 4.726 Å; angles 90.00, 90.00, 90.00 degrees
Atoms (fractional coordinates):
Ta1 0.000 0.000 0.000
Al1 0.500 0.500 0.500
Ga1 0.000 0.500 0.500
Ga2 0.500 0.000 0.500
Ga3 0.500 0.500 0.000

# 7
A relaxed structure of TaAl2Ga. Source: the Alexandria database, functional PBE.

Computed properties:
**Formation energy**: 310 meV per atom
**Mass density**: 6.68 g/cm3

Cell lengths 5.590, 5.590, 5.590 Å; angles 43.72, 43.72, 43.72 degrees
Atoms (fractional coordinates):
Ta1 0.000 0.000 0.000
Al1 0.404 0.404 0.404
Al2 0.583 0.583 0.583
Ga1 0.813 0.813 0.813

# 8
A relaxed structure of TaAl2Ga. Source: the Alexandria database, functional PBE.

Computed properties:
**Formation energy**: -97 meV per atom
**Mass density**: 7.91 g/cm3

Cell lengths 4.013, 4.013, 3.970 Å; angles 90.00, 90.00, 90.00 degrees
Atoms (fractional coordinates):
Ta1 0.000 0.000 0.000
Al1 0.000 0.500 0.500
Al2 0.500 0.000 0.500
Ga1 0.500 0.500 0.000

# 9
A relaxed structure of TaAlGa4. Source: the Alexandria database, functional PBE.

Computed properties:
**Formation energy**: 87 meV per atom
**Mass density**: 7.30 g/cm3

Cell lengths 6.869, 6.869, 5.398 Å; angles 100.99, 100.99, 112.31 degrees
Atoms (fractional coordinates):
Ta1 0.006 0.994 0.750
Ta2 0.994 0.006 0.250
Al1 0.393 0.607 0.250
Al2 0.607 0.393 0.750
Ga1 0.085 0.686 0.939
Ga2 0.209 0.405 0.641
Ga3 0.314 0.915 0.561
Ga4 0.405 0.209 0.141
Ga5 0.595 0.791 0.859
Ga6 0.686 0.085 0.439
Ga7 0.791 0.595 0.359
Ga8 0.915 0.314 0.061

# 10
A relaxed structure of TaAl2GaTc. Source: the Alexandria database, functional PBE.

Computed properties:
**Formation energy**: 799 meV per atom
**Mass density**: 6.86 g/cm3

Cell lengths 4.572, 4.572, 4.662 Å; angles 90.00, 90.00, 90.00 degrees
Atoms (fractional coordinates):
Ta1 0.000 0.000 0.000
Al1 0.000 0.500 0.500
Al2 0.500 0.000 0.500
Ga1 0.500 0.500 0.000
Tc1 0.500 0.500 0.500

# 11
A relaxed structure of TaAl2TlGa. Source: the Alexandria database, functional PBE.

Computed properties:
**Formation energy**: 1622 meV per atom
**Mass density**: 6.58 g/cm3

Cell lengths 5.024, 5.024, 5.089 Å; angles 90.00, 90.00, 90.00 degrees
Atoms (fractional coordinates):
Ta1 0.000 0.000 0.000
Al1 0.000 0.500 0.500
Al2 0.500 0.000 0.500
Tl1 0.500 0.500 0.500
Ga1 0.500 0.500 0.000

# 12
A relaxed structure of Ta2AlV5Ga2. Source: the Alexandria database, functional PBE.

Computed properties:
**Formation energy**: 44 meV per atom
**Mass density**: 8.49 g/cm3

Cell lengths 9.093, 9.093, 3.705 Å; angles 90.00, 90.00, 90.00 degrees
Atoms (fractional coordinates):
Ta1 0.170 0.330 0.000
Ta2 0.330 0.830 0.000
Ta3 0.670 0.170 0.000
Ta4 0.830 0.670 0.000
Al1 0.000 0.000 0.000
Al2 0.500 0.500 0.000
V1 0.000 0.500 0.500
V2 0.067 0.804 0.500
V3 0.196 0.067 0.500
V4 0.304 0.567 0.500
V5 0.433 0.304 0.500
V6 0.500 0.000 0.500
V7 0.567 0.696 0.500
V8 0.696 0.433 0.500
V9 0.804 0.933 0.500
V10 0.933 0.196 0.500
Ga1 0.128 0.628 0.000
Ga2 0.372 0.128 0.000
Ga3 0.628 0.872 0.000
Ga4 0.872 0.372 0.000

# 13
A relaxed structure of TaAlZnGa. Source: the Alexandria database, functional PBE.

Computed properties:
**Formation energy**: -132 meV per atom
**Mass density**: 9.01 g/cm3

Cell lengths 5.146, 5.146, 5.146 Å; angles 136.71, 136.71, 62.88 degrees
Atoms (fractional coordinates):
Ta1 0.000 0.000 0.000
Al1 0.500 0.500 0.000
Zn1 0.750 0.250 0.500
Ga1 0.250 0.750 0.500

# 14
A relaxed structure of Zr2TaAlGa. Source: the Alexandria database, functional PBE.

Computed properties:
**Formation energy**: 856 meV per atom
**Mass density**: 5.87 g/cm3

Cell lengths 5.099, 5.099, 5.003 Å; angles 90.00, 90.00, 90.00 degrees
Atoms (fractional coordinates):
Zr1 0.000 0.500 0.000
Zr2 0.500 0.000 0.000
Ta1 0.000 0.000 0.000
Al1 0.500 0.500 0.500
Ga1 0.000 0.000 0.500

# 15
A relaxed structure of Tb5Al2Ga. Source: the Alexandria database, functional PBE.

Computed properties:
**Formation energy**: -343 meV per atom
**Mass density**: 7.11 g/cm3

Cell lengths 9.034, 9.034, 9.034 Å; angles 129.40, 129.40, 74.37 degrees
Atoms (fractional coordinates):
Tb1 0.000 0.000 0.000
Tb2 0.021 0.521 0.842
Tb3 0.179 0.021 0.500
Tb4 0.321 0.821 0.842
Tb5 0.479 0.321 0.500
Tb6 0.500 0.500 0.000
Tb7 0.521 0.679 0.500
Tb8 0.679 0.179 0.158
Tb9 0.821 0.979 0.500
Tb10 0.979 0.479 0.158
Al1 0.120 0.380 0.500
Al2 0.380 0.880 0.260
Al3 0.620 0.120 0.740
Al4 0.880 0.620 0.500
Ga1 0.250 0.250 0.000
Ga2 0.750 0.750 0.000

# 16
A relaxed structure of Tb4Al5Ga6. Source: the Alexandria database, functional PBE.

Computed properties:
**Formation energy**: -467 meV per atom
**Mass density**: 6.27 g/cm3

Cell lengths 9.716, 9.716, 15.410 Å; angles 90.00, 90.00, 154.35 degrees
Atoms (fractional coordinates):
Tb1 0.021 0.979 0.500
Tb2 0.034 0.966 0.768
Tb3 0.165 0.835 0.305
Tb4 0.177 0.823 0.945
Tb5 0.823 0.177 0.445
Tb6 0.835 0.165 0.805
Tb7 0.966 0.034 0.268
Tb8 0.979 0.021 0.000
Al1 0.151 0.849 0.630
Al2 0.303 0.697 0.623
Al3 0.342 0.658 0.279
Al4 0.350 0.650 0.981
Al5 0.436 0.564 0.691
Al6 0.564 0.436 0.191
Al7 0.650 0.350 0.481
Al8 0.658 0.342 0.779
Al9 0.697 0.303 0.123
Al10 0.849 0.151 0.130
Ga1 0.109 0.891 0.116
Ga2 0.223 0.777 0.486
Ga3 0.232 0.768 0.766
Ga4 0.430 0.570 0.412
Ga5 0.431 0.569 0.133
Ga6 0.442 0.558 0.859
Ga7 0.558 0.442 0.359
Ga8 0.569 0.431 0.633
Ga9 0.570 0.430 0.912
Ga10 0.768 0.232 0.266
Ga11 0.777 0.223 0.986
Ga12 0.891 0.109 0.616

# 17
A relaxed structure of Tb3Al2Ga4. Source: the Alexandria database, functional PBE.

Computed properties:
**Formation energy**: -599 meV per atom
**Mass density**: 7.20 g/cm3

Cell lengths 5.762, 5.762, 8.499 Å; angles 108.66, 108.66, 44.90 degrees
Atoms (fractional coordinates):
Tb1 0.000 0.000 0.000
Tb2 0.338 0.338 0.329
Tb3 0.662 0.662 0.671
Al1 0.384 0.384 0.718
Al2 0.616 0.616 0.282
Ga1 0.067 0.067 0.400
Ga2 0.289 0.289 0.955
Ga3 0.711 0.711 0.045
Ga4 0.933 0.933 0.600

# 18
A relaxed structure of Tb2Al3Ga4. Source: the Alexandria database, functional PBE.

Computed properties:
**Formation energy**: -446 meV per atom
**Mass density**: 6.45 g/cm3

Cell lengths 8.201, 8.201, 7.841 Å; angles 90.00, 90.00, 138.55 degrees
Atoms (fractional coordinates):
Tb1 0.112 0.888 0.914
Tb2 0.388 0.612 0.414
Tb3 0.612 0.388 0.586
Tb4 0.888 0.112 0.086
Al1 0.000 0.000 0.500
Al2 0.030 0.470 0.750
Al3 0.470 0.030 0.250
Al4 0.500 0.500 0.000
Al5 0.530 0.970 0.750
Al6 0.970 0.530 0.250
Ga1 0.180 0.820 0.538
Ga2 0.198 0.302 0.750
Ga3 0.302 0.198 0.250
Ga4 0.320 0.680 0.038
Ga5 0.680 0.320 0.962
Ga6 0.698 0.802 0.750
Ga7 0.802 0.698 0.250
Ga8 0.820 0.180 0.462

# 19
A relaxed structure of TbAl2Ga3. Source: the Alexandria database, functional PBE.

Computed properties:
**E above lowest polymorph**: 0.000 eV/atom
**Formation energy**: -324 meV per atom
**Mass density**: 6.16 g/cm3

Cell lengths 4.588, 4.588, 6.244 Å; angles 90.00, 90.00, 120.00 degrees
Atoms (fractional coordinates):
Tb1 0.000 0.000 0.000
Al1 0.333 0.667 0.697
Al2 0.667 0.333 0.303
Ga1 0.000 0.000 0.500
Ga2 0.333 0.667 0.259
Ga3 0.667 0.333 0.741

# 20
A relaxed structure of TbAl3Ga3. Source: the Alexandria database, functional PBE.

Computed properties:
**E above lowest polymorph**: 0.634 eV/atom
**Formation energy**: 556 meV per atom
**Mass density**: 3.46 g/cm3

Cell lengths 8.477, 8.477, 8.477 Å; angles 60.00, 60.00, 60.00 degrees
Atoms (fractional coordinates):
Tb1 0.250 0.250 0.250
Tb2 0.750 0.750 0.750
Al1 0.154 0.154 0.846
Al2 0.154 0.846 0.154
Al3 0.154 0.846 0.846
Al4 0.846 0.154 0.154
Al5 0.846 0.154 0.846
Al6 0.846 0.846 0.154
Ga1 0.349 0.349 0.651
Ga2 0.349 0.651 0.349
Ga3 0.349 0.651 0.651
Ga4 0.651 0.349 0.349
Ga5 0.651 0.349 0.651
Ga6 0.651 0.651 0.349

# 21
A relaxed structure of Tb3AlGa2. Source: the Alexandria database, functional PBE.

Computed properties:
**E above lowest polymorph**: 0.000 eV/atom
**Formation energy**: -521 meV per atom
**Mass density**: 7.64 g/cm3

Cell lengths 3.583, 3.583, 10.888 Å; angles 90.00, 90.00, 90.00 degrees
Atoms (fractional coordinates):
Tb1 0.000 0.000 0.000
Tb2 0.000 0.000 0.331
Tb3 0.000 0.000 0.669
Al1 0.500 0.500 0.500
Ga1 0.500 0.500 0.166
Ga2 0.500 0.500 0.834

# 22
A relaxed structure of Tb3Al2Ga7. Source: the Alexandria database, functional PBE.

Computed properties:
**Formation energy**: -416 meV per atom
**Mass density**: 6.82 g/cm3

Cell lengths 14.199, 14.199, 14.199 Å; angles 162.88, 162.88, 24.30 degrees
Atoms (fractional coordinates):
Tb1 0.000 0.000 0.000
Tb2 0.161 0.161 0.000
Tb3 0.839 0.839 0.000
Al1 0.360 0.360 0.000
Al2 0.640 0.640 0.000
Ga1 0.079 0.579 0.500
Ga2 0.266 0.266 0.000
Ga3 0.421 0.921 0.500
Ga4 0.500 0.500 0.000
Ga5 0.579 0.079 0.500
Ga6 0.734 0.734 0.000
Ga7 0.921 0.421 0.500